# 1
The following is a meta-GGA SCAN calculation of a crystal of Ta2CdP relaxed with PBEsol, from Alexandria via LeMat-Bulk.

abc: 2.9041 2.9041 8.8450
angles: 90.00 90.00 105.46
Fractional positions:
Cd1 0.0000 0.0000 0.5066
P1 0.5000 0.5000 0.2120
Ta1 0.0000 0.0000 0.0140
Ta2 0.5000 0.5000 0.7674

Calculated values
Symmetry ... Cmm2
Calculated formation energy ... 19.0 meV per atom

***

# 2
The following is a meta-GGA SCAN calculation of a crystal of Ta2CdP relaxed with PBEsol, from Alexandria via LeMat-Bulk.

abc: 2.8680 2.8680 8.6476
angles: 90.00 90.00 90.00
Fractional positions:
Cd1 0.0000 0.0000 0.5002
P1 0.5000 0.5000 0.7828
Ta1 0.0000 0.0000 0.9787
Ta2 0.5000 0.5000 0.2382

Calculated values
Symmetry ... P4mm
Calculated formation energy ... 173.8 meV per atom

***

# 3
The following is a meta-GGA SCAN calculation of a crystal of Ta2CdP relaxed with PBEsol, from Alexandria via LeMat-Bulk.

abc: 2.8717 5.1137 5.1137
angles: 111.07 99.52 99.52
Fractional positions:
Cd1 0.5000 0.0000 0.0000
P1 0.5000 0.5000 0.5000
Ta1 0.0000 0.5000 0.0000
Ta2 0.0000 0.0000 0.5000

Calculated values
Symmetry ... C2/m
Calculated formation energy ... 245.0 meV per atom

***

# 4
The following is a meta-GGA SCAN calculation of a crystal of Ta2CdP relaxed with PBEsol, from Alexandria via LeMat-Bulk.

abc: 4.5945 4.5945 4.5945
angles: 60.00 60.00 60.00
Fractional positions:
Cd1 0.5000 0.5000 0.5000
P1 0.2500 0.2500 0.2500
Ta1 0.0000 0.0000 0.0000
Ta2 0.7500 0.7500 0.7500

Calculated values
Symmetry ... F-43m
Calculated formation energy ... 655.2 meV per atom

***

# 5
The following is a meta-GGA SCAN calculation of a crystal of CdTe2P relaxed with PBEsol, from Alexandria via LeMat-Bulk.

abc: 3.6221 3.6221 9.8896
angles: 79.45 79.45 60.00
Fractional positions:
P1 0.5000 0.5000 0.5000
Te1 0.8929 0.8929 0.3212
Te2 0.1071 0.1071 0.6788
Cd1 0.0000 0.0000 0.0000

Calculated values
Formation energy from raw total energies ... 0.310 eV per atom
Symmetry ... R-3m

***

# 6
The following is a meta-GGA SCAN calculation of a crystal of CdTe2P relaxed with PBEsol, from Alexandria via LeMat-Bulk.

abc: 5.7729 5.7729 8.5172
angles: 109.81 109.81 90.00
Fractional positions:
P1 0.7500 0.2500 0.5000
P2 0.5000 0.5000 0.0000
Te1 0.8409 0.3750 0.2500
Te2 0.4091 0.8750 0.2500
Te3 0.6250 0.5909 0.7500
Te4 0.1250 0.1591 0.7500
Cd1 0.2500 0.7500 0.5000
Cd2 0.0000 0.0000 0.0000

Calculated values
Formation energy from raw total energies ... 0.167 eV per atom
Symmetry ... I-42d

***

# 7
The following is a meta-GGA SCAN calculation of a crystal of CdTeP2 relaxed with PBEsol, from Alexandria via LeMat-Bulk.

abc: 3.1520 3.1520 8.2729
angles: 90.00 90.00 90.00
Fractional positions:
Cd1 0.5000 0.5000 0.7904
P1 0.0000 0.0000 0.0597
P2 0.5000 0.5000 0.1573
Te1 0.0000 0.0000 0.4926

Calculated values
Formation energy from raw total energies ... 0.361 eV per atom
Symmetry ... P4mm

***

# 8
The following is a meta-GGA SCAN calculation of a crystal of CdTe2P relaxed with PBEsol, from Alexandria via LeMat-Bulk.

abc: 4.2343 4.2343 8.5519
angles: 75.67 75.67 60.00
Fractional positions:
P1 0.0000 0.0000 0.0000
Te1 0.8994 0.8994 0.3018
Te2 0.1006 0.1006 0.6982
Cd1 0.5000 0.5000 0.5000

Calculated values
Formation energy from raw total energies ... 0.411 eV per atom
Symmetry ... R-3m

***

# 9
The following is a meta-GGA SCAN calculation of a crystal of CdTe2P relaxed with PBEsol, from Alexandria via LeMat-Bulk.

abc: 4.1347 4.1347 5.9390
angles: 90.00 90.00 90.00
Fractional positions:
Cd1 0.0000 0.0000 0.3502
P1 0.5000 0.5000 0.8514
Te1 0.0000 0.0000 0.8727
Te2 0.5000 0.5000 0.4258

Calculated values
Formation energy from raw total energies ... 0.005 eV per atom
Symmetry ... P4mm

***

# 10
The following is a meta-GGA SCAN calculation of a crystal of CdTe2P relaxed with PBEsol, from Alexandria via LeMat-Bulk.

abc: 4.1183 4.1127 7.1819
angles: 106.79 90.00 120.05
Fractional positions:
Cd1 0.5000 0.0000 0.0000
P1 0.0000 0.0000 0.5000
Te1 0.7433 0.4865 0.7280
Te2 0.2567 0.5135 0.2720

Calculated values
Formation energy from raw total energies ... 0.086 eV per atom
Symmetry ... C2/m

***

# 11
The following is a meta-GGA SCAN calculation of a crystal of CdTe3P relaxed with PBEsol, from Alexandria via LeMat-Bulk.

abc: 5.1846 5.1846 5.1846
angles: 90.00 90.00 90.00
Fractional positions:
P1 0.0000 0.0000 0.0000
Te1 0.0000 0.5000 0.0000
Te2 0.0000 0.0000 0.5000
Te3 0.5000 0.0000 0.0000
Cd1 0.5000 0.5000 0.5000

Calculated values
Formation energy from raw total energies ... 0.423 eV per atom
Symmetry ... Pm-3m

***

# 12
The following is a meta-GGA SCAN calculation of a crystal of TlCd2P2 relaxed with PBEsol, from Alexandria via LeMat-Bulk.

abc: 4.2255 4.2255 6.8011
angles: 108.10 108.10 90.00
Fractional positions:
Cd1 0.6128 0.6128 0.2256
Cd2 0.3872 0.3872 0.7744
P1 0.2500 0.7500 0.5000
P2 0.7500 0.2500 0.5000
Tl1 0.0000 0.0000 0.0000

Calculated values
Symmetry ... I4/mmm
Calculated formation energy ... 273.7 meV per atom